# NaCd4SnPd2

A geometry-optimized NaCd4SnPd2 structure (GGA-PBE, the Alexandria database).

Properties
symmetry = No. 123
DFT total energy = -2.488 eV/atom

```
NaCd4SnPd2
1.0
3.951 0.000 0.000
0.000 3.951 0.000
0.000 0.000 12.272
Cd Na Sn Pd
4 1 1 2
Cartesian
1.975 0.000 2.764
0.000 1.975 2.764
0.000 1.975 9.508
1.975 0.000 9.508
0.000 0.000 0.000
0.000 0.000 6.136
1.975 1.975 4.790
1.975 1.975 7.482
```

# CdHg2Sb

A geometry-optimized CdHg2Sb structure (GGA-PBE, the Alexandria database).

Properties
E above lowest polymorph = 99 meV per atom
raw formation energy = 0.133 eV per atom
symmetry = No. 225

```
CdHg2Sb
1.0
0.000 3.703 3.703
3.703 0.000 3.703
3.703 3.703 0.000
Sb Cd Hg
1 1 2
Cartesian
3.703 3.703 3.703
0.000 0.000 0.000
5.554 5.554 5.554
1.851 1.851 1.851
```

# BaIrRu2O8

A geometry-optimized BaIrRu2O8 structure (GGA-PBE, the Alexandria database).

Properties
raw formation energy = -1.101 eV per atom
symmetry = No. 2

```
BaIrRu2O8
1.0
4.984 0.597 0.559
0.646 5.008 0.566
0.797 0.818 7.034
O Ru Ba Ir
8 2 1 1
Cartesian
3.908 1.615 1.967
4.203 4.319 1.086
2.518 4.808 6.192
4.025 4.106 3.945
4.849 2.579 6.174
1.578 3.844 1.985
2.223 2.105 7.072
2.402 2.317 4.214
3.305 3.309 2.430
3.121 3.114 5.729
0.398 0.409 3.517
0.000 0.000 0.000
```

Computed V (Å³/cell) in order:
191.5 101.5 168.9
Computed total magnetic moment (μB/f.u.) in order:
0.000 0.000 0.362
Computed Fermi-level density of states (states/eV/f.u.) in order:
3.010 2.256 6.727